Material: Na4Mn3BO8
Method: DFT, PBE with a Hubbard U
State: relaxed

POSCAR file:
```
Na4Mn3BO8
1.0
-5.204 -1.959 -0.478
-3.863 -2.989 -2.699
1.833 -9.632 5.574
O Na Mn B
8 4 3 1
Cartesian
-2.762 -6.260 1.237
-6.796 -11.224 1.106
0.629 -8.401 4.277
-0.439 -3.356 1.292
-4.473 -8.319 1.160
-7.864 -6.178 -1.880
-5.263 -3.320 -1.636
-1.972 -11.260 4.034
-2.063 -2.370 -0.145
-6.132 -7.297 -0.315
-1.103 -7.283 2.713
-5.172 -12.210 2.543
-4.153 -4.761 -0.298
-3.081 -9.818 2.695
0.916 -4.816 2.787
0.000 0.000 0.000
```

Output
Calculated total energy (eV/atom): -6.1323
Symmetry: C2/m (12)
Calculated density (g cm⁻³): 3.9